(1)
{"formula": "Nb2CrCoP", "functional": "PBE-GGA", "state": "optimized geometry", "lattice": [[4.598, 0.000, 0.000], [0.000, 4.598, 0.000], [0.000, 0.000, 4.142]], "species": ["Nb", "Nb", "Cr", "Co", "P"], "frac_coords": [[0.000, 0.500, 0.000], [0.500, 0.000, 0.000], [0.000, 0.000, 0.000], [0.500, 0.500, 0.500], [0.000, 0.000, 0.500]], "dos_at_fermi_per_ev_cell": 5.64, "final_energy_ry_per_atom": -0.55223, "space_group": "No. 123", "magnetic_moment_mub_per_fu": 0.001, "crystal_system": "tetragonal"}

(2)
{"formula": "NbCrCoPb2", "functional": "PBE-GGA", "state": "optimized geometry", "lattice": [[4.973, 0.000, 0.000], [0.000, 4.973, 0.000], [0.000, 0.000, 4.404]], "species": ["Nb", "Cr", "Co", "Pb", "Pb"], "frac_coords": [[0.000, 0.000, 0.000], [0.500, 0.500, 0.000], [0.500, 0.500, 0.500], [0.000, 0.500, 0.500], [0.500, 0.000, 0.500]], "dos_at_fermi_per_ev_cell": 6.27, "final_energy_ry_per_atom": -0.42726, "space_group": "No. 123", "magnetic_moment_mub_per_fu": 1.473, "crystal_system": "tetragonal"}

(3)
{"formula": "Nb2Cr2CoS6", "functional": "PBE-GGA", "state": "optimized geometry", "lattice": [[3.005, -5.229, 0.000], [3.005, 5.229, 0.000], [-2.083, 0.000, 5.754]], "species": ["Nb", "Nb", "Cr", "Cr", "Co", "S", "S", "S", "S", "S", "S"], "frac_coords": [[0.198, 0.802, 0.000], [0.802, 0.198, 0.000], [0.335, 0.665, 0.500], [0.665, 0.335, 0.500], [0.500, 0.500, 0.000], [0.080, 0.385, 0.733], [0.262, 0.262, 0.220], [0.385, 0.080, 0.733], [0.615, 0.920, 0.267], [0.738, 0.738, 0.780], [0.920, 0.615, 0.267]], "dos_at_fermi_per_ev_cell": 8.60, "final_energy_ry_per_atom": -0.51684, "space_group": "No. 12", "magnetic_moment_mub_per_fu": 8.561, "e_form_raw_kj_per_mol_atoms": -53.5, "crystal_system": "monoclinic"}

(4)
{"formula": "NbCrCoTc", "functional": "PBE-GGA", "state": "optimized geometry", "lattice": [[0.000, 3.048, 3.048], [3.048, 0.000, 3.048], [3.048, 3.048, 0.000]], "species": ["Nb", "Cr", "Co", "Tc"], "frac_coords": [[0.000, 0.000, 0.000], [0.500, 0.500, 0.500], [0.250, 0.250, 0.250], [0.750, 0.750, 0.750]], "dos_at_fermi_per_ev_cell": 4.31, "final_energy_ry_per_atom": -0.68125, "space_group": "No. 216", "magnetic_moment_mub_per_fu": 2.780, "crystal_system": "cubic"}

(5)
{"formula": "ZrNbCr2Co", "functional": "PBE-GGA", "state": "optimized geometry", "lattice": [[4.356, 0.000, 0.000], [0.000, 4.356, 0.000], [0.000, 0.000, 4.626]], "species": ["Zr", "Nb", "Cr", "Cr", "Co"], "frac_coords": [[0.000, 0.000, 0.000], [0.500, 0.500, 0.000], [0.000, 0.500, 0.500], [0.500, 0.000, 0.500], [0.500, 0.500, 0.500]], "dos_at_fermi_per_ev_cell": 7.01, "final_energy_ry_per_atom": -0.60616, "space_group": "No. 123", "magnetic_moment_mub_per_fu": 3.819, "crystal_system": "tetragonal"}